Sr2LiCa GGA-PBE optimized geometry; symmetry = No. 160; calculated volume = 44.30 A^3/atom
1.0
2.0330 1.1738 12.3754
-2.0330 1.1738 12.3754
0.0000 -2.3475 12.3754
Sr Li Ca
2 1 1
Direct
0.0000 0.0000 0.0000
0.2372 0.2372 0.2372
0.7434 0.7434 0.7434
0.4804 0.4804 0.4804

HfNbTc2 GGA-PBE optimized geometry; symmetry = No. 123; calculated volume = 16.80 A^3/atom
1.0
3.2222 0.0000 0.0000
0.0000 3.2222 0.0000
0.0000 0.0000 6.4718
Hf Nb Tc
1 1 2
Direct
0.0000 0.0000 0.0000
0.0000 0.0000 0.5000
0.5000 0.5000 0.2577
0.5000 0.5000 0.7423

Number 1: electronic total energy -6.903 eV for the cell shown. Number 2: electronic total energy -42.541 eV for the cell shown.